TlZnHg2Se | Alexandria | PBE-GGA | optimized geometry; crystal system = tetragonal; total energy = -1.29 eV/atom; energy relative to the elements, uncorrected = 1.28 eV per formula unit
1.0
5.352 0.000 0.000
0.000 5.352 0.000
0.000 0.000 6.450
Tl Zn Hg Se
1 1 2 1
Cartesian
0.000 0.000 0.000 Tl
2.676 2.676 0.000 Zn
0.000 2.676 3.225 Hg
2.676 0.000 3.225 Hg
0.000 0.000 3.225 Se

---

TmScZnSn | Alexandria | PBE-GGA | optimized geometry; crystal system = cubic; total energy = -4.48 eV/atom; formation enthalpy at 0 K = -0.46 eV/atom
1.0
7.088 0.000 0.000
0.000 7.088 0.000
0.000 0.000 7.088
Tm Sc Zn Sn
4 4 4 4
Cartesian
0.000 0.000 0.000 Tm
0.000 3.544 3.544 Tm
3.544 0.000 3.544 Tm
3.544 3.544 0.000 Tm
0.000 0.000 3.544 Sc
0.000 3.544 0.000 Sc
3.544 0.000 0.000 Sc
3.544 3.544 3.544 Sc
1.772 1.772 1.772 Zn
1.772 5.316 5.316 Zn
5.316 1.772 5.316 Zn
5.316 5.316 1.772 Zn
1.772 1.772 5.316 Sn
1.772 5.316 1.772 Sn
5.316 1.772 1.772 Sn
5.316 5.316 5.316 Sn

---

LaZrP | Alexandria | PBE-GGA | optimized geometry; crystal system = trigonal; total energy = -7.10 eV/atom; relative energy among the computed polymorphs = 0 kJ/mol of formula units; formation enthalpy at 0 K = -0.80 eV/atom
1.0
3.794 0.000 0.000
-1.897 3.286 0.000
0.000 0.000 6.364
La Zr P
1 1 1
Cartesian
0.000 0.000 0.000 La
0.000 2.190 3.233 Zr
1.897 1.095 1.870 P

---

Ni2Te6Pt | Alexandria | PBE-GGA | optimized geometry; crystal system = monoclinic; total energy = -4.33 eV/atom; relative energy among the computed polymorphs = 0 kJ/mol of formula units; energy relative to the elements, uncorrected = -2.48 eV per formula unit
1.0
6.379 -1.977 0.000
6.379 1.977 0.000
-0.636 0.000 8.565
Ni Te Pt
2 6 1
Cartesian
1.953 0.000 2.858 Ni
10.170 0.000 5.706 Ni
-0.221 0.000 6.755 Te
3.305 0.000 7.375 Te
4.247 0.000 4.053 Te
7.876 0.000 4.512 Te
8.818 0.000 1.190 Te
12.344 0.000 1.810 Te
6.379 0.000 0.000 Pt